(1)
DFT (GGA-PBE) results for a relaxed EuLuCdAu crystal.

Properties
E_form ... -507 meV/atom

Cell lengths 5.2351, 5.2351, 5.2351 Å; angles 60.00, 60.00, 60.00 degrees
With the nearest neighbours (Å) after each atom.
Positions (direct):
Eu 0.0000 0.0000 0.0000  4 Cd 3.21, 4 Au 3.21
Lu 0.5000 0.5000 0.5000  4 Cd 3.21, 4 Au 3.21
Cd 0.2500 0.2500 0.2500  4 Lu 3.21, 4 Eu 3.21
Au 0.7500 0.7500 0.7500  4 Lu 3.21, 4 Eu 3.21

***

(2)
DFT (GGA-PBE) results for a relaxed EuMgCdAu crystal.

Properties
E_form ... -438 meV/atom

Cell lengths 5.1412, 5.1412, 5.1412 Å; angles 60.00, 60.00, 60.00 degrees
With the nearest neighbours (Å) after each atom.
Positions (direct):
Eu 0.0000 0.0000 0.0000  4 Cd 3.15, 4 Au 3.15
Mg 0.5000 0.5000 0.5000  4 Cd 3.15, 4 Au 3.15
Cd 0.7500 0.7500 0.7500  4 Mg 3.15, 4 Eu 3.15
Au 0.2500 0.2500 0.2500  4 Mg 3.15, 4 Eu 3.15

***

(3)
DFT (GGA-PBE) results for a relaxed NdEuCdAu crystal.

Properties
E_form ... -368 meV/atom

Cell lengths 5.1806, 5.1806, 5.1806 Å; angles 60.00, 60.00, 60.00 degrees
With the nearest neighbours (Å) after each atom.
Positions (direct):
Nd 0.0000 0.0000 0.0000  4 Au 3.17, 4 Eu 3.17
Eu 0.7500 0.7500 0.7500  4 Cd 3.17, 4 Nd 3.17
Cd 0.5000 0.5000 0.5000  4 Eu 3.17, 4 Au 3.17
Au 0.2500 0.2500 0.2500  4 Cd 3.17, 4 Nd 3.17

***

(4)
DFT (GGA-PBE) results for a relaxed EuCdPbAu crystal.

Properties
E_form ... -404 meV/atom

Cell lengths 5.2521, 5.2521, 5.2521 Å; angles 60.00, 60.00, 60.00 degrees
With the nearest neighbours (Å) after each atom.
Positions (direct):
Eu 0.0000 0.0000 0.0000  4 Au 3.22, 4 Cd 3.22
Cd 0.2500 0.2500 0.2500  4 Pb 3.22, 4 Eu 3.22
Pb 0.5000 0.5000 0.5000  4 Au 3.22, 4 Cd 3.22
Au 0.7500 0.7500 0.7500  4 Pb 3.22, 4 Eu 3.22

***

(5)
DFT (GGA-PBE) results for a relaxed EuCdPdAu crystal.

Properties
E_form ... -526 meV/atom

Cell lengths 4.9800, 4.9800, 4.9800 Å; angles 60.00, 60.00, 60.00 degrees
With the nearest neighbours (Å) after each atom.
Positions (direct):
Eu 0.0000 0.0000 0.0000  4 Pd 3.05, 4 Au 3.05
Cd 0.5000 0.5000 0.5000  4 Pd 3.05, 4 Au 3.05
Pd 0.2500 0.2500 0.2500  4 Cd 3.05, 4 Eu 3.05
Au 0.7500 0.7500 0.7500  4 Cd 3.05, 4 Eu 3.05

***

(6)
DFT (GGA-PBE) results for a relaxed PmEuCdAu crystal.

Properties
E_form ... -520 meV/atom

Cell lengths 5.3559, 5.3559, 5.3559 Å; angles 60.00, 60.00, 60.00 degrees
With the nearest neighbours (Å) after each atom.
Positions (direct):
Pm 0.0000 0.0000 0.0000  4 Au 3.28, 4 Cd 3.28
Eu 0.5000 0.5000 0.5000  4 Au 3.28, 4 Cd 3.28
Cd 0.2500 0.2500 0.2500  4 Eu 3.28, 4 Pm 3.28
Au 0.7500 0.7500 0.7500  4 Eu 3.28, 4 Pm 3.28

***

(7)
DFT (GGA-PBE) results for a relaxed EuCdSbAu crystal.

Properties
Raw total energy ... -5.151 eV/atom

Cell lengths 5.2211, 5.2211, 5.2211 Å; angles 60.00, 60.00, 60.00 degrees
With the nearest neighbours (Å) after each atom.
Positions (direct):
Eu 0.0000 0.0000 0.0000  4 Au 3.20, 4 Sb 3.20
Cd 0.5000 0.5000 0.5000  4 Au 3.20, 4 Sb 3.20
Sb 0.2500 0.2500 0.2500  4 Cd 3.20, 4 Eu 3.20
Au 0.7500 0.7500 0.7500  4 Eu 3.20, 4 Cd 3.20

***

(8)
DFT (GGA-PBE) results for a relaxed SrEuCdAu crystal.

Properties
E_form ... -509 meV/atom

Cell lengths 5.4974, 5.4974, 5.4974 Å; angles 60.00, 60.00, 60.00 degrees
With the nearest neighbours (Å) after each atom.
Positions (direct):
Sr 0.0000 0.0000 0.0000  4 Cd 3.37, 4 Au 3.37
Eu 0.5000 0.5000 0.5000  4 Cd 3.37, 4 Au 3.37
Cd 0.2500 0.2500 0.2500  4 Sr 3.37, 4 Eu 3.37
Au 0.7500 0.7500 0.7500  4 Sr 3.37, 4 Eu 3.37

***

(9)
DFT (GGA-PBE) results for a relaxed TbEuCdAu crystal.

Properties
E_form ... -523 meV/atom

Cell lengths 5.2965, 5.2965, 5.2965 Å; angles 60.00, 60.00, 60.00 degrees
With the nearest neighbours (Å) after each atom.
Positions (direct):
Tb 0.0000 0.0000 0.0000  4 Au 3.24, 4 Cd 3.24
Eu 0.5000 0.5000 0.5000  4 Cd 3.24, 4 Au 3.24
Cd 0.2500 0.2500 0.2500  4 Eu 3.24, 4 Tb 3.24
Au 0.7500 0.7500 0.7500  4 Eu 3.24, 4 Tb 3.24

***

(10)
DFT (GGA-PBE) results for a relaxed EuThCdAu crystal.

Properties
E_form ... -362 meV/atom

Cell lengths 5.3642, 5.3642, 5.3642 Å; angles 60.00, 60.00, 60.00 degrees
With the nearest neighbours (Å) after each atom.
Positions (direct):
Eu 0.0000 0.0000 0.0000  4 Cd 3.28, 4 Au 3.28
Th 0.5000 0.5000 0.5000  4 Cd 3.28, 4 Au 3.28
Cd 0.7500 0.7500 0.7500  4 Th 3.28, 4 Eu 3.28
Au 0.2500 0.2500 0.2500  4 Th 3.28, 4 Eu 3.28

***

(11)
DFT (GGA-PBE) results for a relaxed EuZnCdAu crystal.

Properties
E_form ... -389 meV/atom

Cell lengths 5.0321, 5.0321, 5.0321 Å; angles 60.00, 60.00, 60.00 degrees
With the nearest neighbours (Å) after each atom.
Positions (direct):
Eu 0.0000 0.0000 0.0000  4 Zn 3.08, 4 Au 3.08
Zn 0.2500 0.2500 0.2500  4 Cd 3.08, 4 Eu 3.08
Cd 0.5000 0.5000 0.5000  4 Au 3.08, 4 Zn 3.08
Au 0.7500 0.7500 0.7500  4 Cd 3.08, 4 Eu 3.08

***

(12)
DFT (GGA-PBE) results for a relaxed CdAu2F crystal.

Properties
Raw total energy ... -2.771 eV/atom

Cell lengths 5.8926, 5.8926, 5.8926 Å; angles 101.77, 101.77, 126.30 degrees
With the nearest neighbours (Å) after each atom.
Positions (direct):
Cd 0.0000 0.0000 0.0000  2 F 2.66, 4 Au 2.84
Cd 0.7500 0.2500 0.5000  2 F 2.66, 4 Au 2.84
Au 0.1491 0.6250 0.0241  2 F 2.59, 2 Au 2.69, 2 Cd 2.84
Au 0.3750 0.3991 0.5241  2 F 2.59, 2 Au 2.69, 2 Cd 2.84
Au 0.6009 0.1250 0.9759  2 F 2.59, 2 Au 2.69, 2 Cd 2.84
Au 0.8750 0.8509 0.4759  2 F 2.59, 2 Au 2.69, 2 Cd 2.84
F 0.2500 0.7500 0.5000  4 Au 2.59, 2 Cd 2.66
F 0.5000 0.5000 0.0000  4 Au 2.59, 2 Cd 2.66